No. 1
Below is a relaxed NpH2Cl3 crystal, with properties calculated at the GGA-PBE level.

Lattice parameters (Å, degrees): 7.681 7.681 7.434 90.00 90.00 120.00
Atoms (fractional coordinates):
Np: 0.000 0.000 0.000
Np: 0.000 0.000 0.500
H: 0.333 0.667 0.041
H: 0.333 0.667 0.459
H: 0.667 0.333 0.541
H: 0.667 0.333 0.959
Cl: 0.152 0.304 0.750
Cl: 0.152 0.848 0.750
Cl: 0.304 0.152 0.250
Cl: 0.696 0.848 0.750
Cl: 0.848 0.152 0.250
Cl: 0.848 0.696 0.250

## Properties
Theoretical density in g/cm³: 3.02
Calculated volume in Å³/f.u.: 189.9
E_tot in eV per atom: -4.566
Crystal system: hexagonal

***

No. 2
Below is a relaxed NpH4Cl5 crystal, with properties calculated at the GGA-PBE level.

Lattice parameters (Å, degrees): 5.359 6.407 7.235 82.45 73.41 74.69
Atoms (fractional coordinates):
Np: 0.000 0.000 0.000
H: 0.041 0.293 0.045
H: 0.068 0.766 0.449
H: 0.459 0.093 0.438
H: 0.649 0.535 0.894
Cl: 0.209 0.908 0.618
Cl: 0.539 0.848 0.009
Cl: 0.619 0.219 0.335
Cl: 0.683 0.365 0.796
Cl: 0.984 0.671 0.332

## Properties
Theoretical density in g/cm³: 3.03
Calculated volume in Å³/f.u.: 229.2
E_tot in eV per atom: -4.213
Crystal system: triclinic

***

No. 3
Below is a relaxed NpH6Cl12 crystal, with properties calculated at the GGA-PBE level.

Lattice parameters (Å, degrees): 8.426 8.426 8.426 90.01 90.01 90.01
Atoms (fractional coordinates):
Np: 0.000 0.000 0.000
H: 0.305 0.518 0.310
H: 0.310 0.305 0.518
H: 0.482 0.690 0.695
H: 0.518 0.310 0.305
H: 0.690 0.695 0.482
H: 0.695 0.482 0.690
Cl: 0.064 0.729 0.915
Cl: 0.085 0.936 0.271
Cl: 0.193 0.405 0.537
Cl: 0.271 0.085 0.936
Cl: 0.405 0.537 0.193
Cl: 0.463 0.807 0.595
Cl: 0.537 0.193 0.405
Cl: 0.595 0.463 0.807
Cl: 0.729 0.915 0.064
Cl: 0.807 0.595 0.463
Cl: 0.915 0.064 0.729
Cl: 0.936 0.271 0.085

## Properties
Theoretical density in g/cm³: 1.86
Calculated volume in Å³/f.u.: 598.2
E_tot in eV per atom: -3.712
Crystal system: trigonal

***

No. 4
Below is a relaxed NpH2Cl8 crystal, with properties calculated at the GGA-PBE level.

Lattice parameters (Å, degrees): 7.661 7.661 7.004 90.29 90.29 65.69
Atoms (fractional coordinates):
Np: 0.000 0.000 0.000
H: 0.272 0.272 0.299
H: 0.728 0.728 0.701
Cl: 0.106 0.689 0.835
Cl: 0.126 0.126 0.739
Cl: 0.311 0.894 0.165
Cl: 0.366 0.366 0.361
Cl: 0.634 0.634 0.639
Cl: 0.689 0.106 0.835
Cl: 0.874 0.874 0.261
Cl: 0.894 0.311 0.165

## Properties
Theoretical density in g/cm³: 2.32
Calculated volume in Å³/f.u.: 374.6
E_tot in eV per atom: -4.140
Crystal system: monoclinic

***

Q: The lowest calculated volume belongs to which entry?
A: NpH2Cl3

***

Q: Which formula does entry 4 have?
A: NpH2Cl8

***

Q: Among the records above, which one has the lowest calculated volume?
A: NpH2Cl3